## Pm4PI2N (PBE)

Data for a relaxed Pm4PI2N crystal.

Cell and atoms, written as CIF:
```
data_Pm4PI2N
_chemical_formula_sum 'Pm4 P1 I2 N1'
_symmetry_space_group_name_H-M 'P 1 2/m 1'
_symmetry_Int_Tables_number 10
_cell_length_a 6.974
_cell_length_b 3.983
_cell_length_c 7.964
_cell_angle_alpha 90.00
_cell_angle_beta 106.78
_cell_angle_gamma 90.00
loop_
_symmetry_equiv_pos_as_xyz
'x,y,z'
'-x,-y,-z'
'-x,y,-z'
'x,-y,z'
loop_
_atom_site_label
_atom_site_fract_x
_atom_site_fract_y
_atom_site_fract_z
Pm1 0.201 0.000 0.174
Pm2 0.241 0.500 0.823
P1 0.500 0.000 0.000
I1 0.000 0.000 0.500
I2 0.500 0.500 0.500
N1 0.000 0.500 0.000
```



## Pr8P3I3N (PBE)

Data for a relaxed Pr8P3I3N crystal.

Cell and atoms, written as CIF:
```
data_Pr8P3I3N
_chemical_formula_sum 'Pr16 P6 I6 N2'
_symmetry_space_group_name_H-M 'C 1 2/m 1'
_symmetry_Int_Tables_number 12
_cell_length_a 14.370
_cell_length_b 8.313
_cell_length_c 9.075
_cell_angle_alpha 90.00
_cell_angle_beta 121.82
_cell_angle_gamma 90.00
loop_
_symmetry_equiv_pos_as_xyz
'x,y,z'
'-x,-y,-z'
'-x,y,-z'
'x,-y,z'
'x+1/2,y+1/2,z'
'-x+1/2,-y+1/2,-z'
'-x+1/2,y+1/2,-z'
'x+1/2,-y+1/2,z'
loop_
_atom_site_label
_atom_site_fract_x
_atom_site_fract_y
_atom_site_fract_z
Pr1 0.015 0.227 0.317
Pr2 0.212 0.000 0.683
Pr3 0.229 0.500 0.688
P1 0.000 0.500 0.500
P2 0.250 0.250 0.500
I1 0.000 0.000 0.000
I2 0.250 0.250 0.000
N1 0.000 0.000 0.500
```



## Pr4PI2N (PBE)

Data for a relaxed Pr4PI2N crystal.

Cell and atoms, written as CIF:
```
data_Pr4PI2N
_chemical_formula_sum 'Pr4 P1 I2 N1'
_symmetry_space_group_name_H-M 'P 1 2/m 1'
_symmetry_Int_Tables_number 10
_cell_length_a 7.077
_cell_length_b 4.040
_cell_length_c 8.115
_cell_angle_alpha 90.00
_cell_angle_beta 106.75
_cell_angle_gamma 90.00
loop_
_symmetry_equiv_pos_as_xyz
'x,y,z'
'-x,-y,-z'
'-x,y,-z'
'x,-y,z'
loop_
_atom_site_label
_atom_site_fract_x
_atom_site_fract_y
_atom_site_fract_z
Pr1 0.202 0.000 0.176
Pr2 0.241 0.500 0.822
P1 0.500 0.000 0.000
I1 0.000 0.000 0.500
I2 0.500 0.500 0.500
N1 0.000 0.500 0.000
```



# PBE PPtIN2, optimized geometry
data_PPtIN2
_chemical_formula_sum 'P1 Pt1 I1 N2'
_symmetry_space_group_name_H-M 'P 4/m m m'
_symmetry_Int_Tables_number 123
_symmetry_space_group_name_Hall '-P 4 2'
_cell_length_a 3.590
_cell_length_b 3.590
_cell_length_c 7.700
_cell_angle_alpha 90.00
_cell_angle_beta 90.00
_cell_angle_gamma 90.00
loop_
_atom_site_label
_atom_site_fract_x
_atom_site_fract_y
_atom_site_fract_z
P1 0.000 0.000 0.000
Pt1 0.500 0.500 0.500
I1 0.000 0.000 0.500
N1 0.000 0.500 0.000
# energy above the most stable polymorph in this dataset: 0 meV/atom



# PBE PPtIN2, optimized geometry
data_PPtIN2
_chemical_formula_sum 'P1 Pt1 I1 N2'
_symmetry_space_group_name_H-M 'P 4/m m m'
_symmetry_Int_Tables_number 123
_symmetry_space_group_name_Hall '-P 4 2'
_cell_length_a 3.793
_cell_length_b 3.793
_cell_length_c 8.788
_cell_angle_alpha 90.00
_cell_angle_beta 90.00
_cell_angle_gamma 90.00
loop_
_atom_site_label
_atom_site_fract_x
_atom_site_fract_y
_atom_site_fract_z
P1 0.000 0.000 0.000
Pt1 0.500 0.500 0.500
I1 0.500 0.500 0.000
N1 0.000 0.500 0.500
# energy above the most stable polymorph in this dataset: 178 meV/atom



# PBE RbPI2N, optimized geometry
data_RbPI2N
_chemical_formula_sum 'Rb1 P1 I2 N1'
_symmetry_space_group_name_H-M 'P 4/m m m'
_symmetry_Int_Tables_number 123
_symmetry_space_group_name_Hall '-P 4 2'
_cell_length_a 6.594
_cell_length_b 6.594
_cell_length_c 3.425
_cell_angle_alpha 90.00
_cell_angle_beta 90.00
_cell_angle_gamma 90.00
loop_
_atom_site_label
_atom_site_fract_x
_atom_site_fract_y
_atom_site_fract_z
Rb1 0.000 0.000 0.000
P1 0.500 0.500 0.500
I1 0.000 0.500 0.500
N1 0.500 0.500 0.000
# energy above the most stable polymorph in this dataset: 0 meV/atom



Across the entries above, uncorrected formation energy takes the values -1.26; -1.20; -1.25; 1.18; 1.36; -0.06 eV/atom, respectively.